Entry 1:
The following is a DFT calculation (PBE) of an optimized crystal structure of La6Tb12Tm.

Output
Formation energy from the elements, meV per atom: 309
Fermi-level density of states, states/eV per atom: 1.539
Final energy, eV per cell: -83.7
Relative energy among the computed polymorphs, eV/atom: 0.153

```
La6Tb12Tm
1.0
9.480 -1.938 -2.759
-3.076 9.174 -2.759
-1.715 -1.938 9.723
La Tb Tm
6 12 1
direct
0.325 0.621 0.325 La
0.675 0.379 0.675 La
0.675 0.675 0.379 La
0.621 0.325 0.325 La
0.379 0.675 0.675 La
0.325 0.325 0.621 La
0.902 0.228 0.228 Tb
0.098 0.772 0.772 Tb
0.500 0.883 0.117 Tb
0.117 0.883 0.500 Tb
0.228 0.902 0.228 Tb
0.228 0.228 0.902 Tb
0.772 0.772 0.098 Tb
0.772 0.098 0.772 Tb
0.117 0.500 0.883 Tb
0.500 0.117 0.883 Tb
0.883 0.117 0.500 Tb
0.883 0.500 0.117 Tb
0.000 0.000 0.000 Tm
```

Entry 2:
The following is a DFT calculation (PBE) of an optimized crystal structure of Ti6GaN.

Output
Fermi-level density of states, states/eV per atom: 1.056
Final energy, eV per cell: -63.5
ΔE_f (raw), meV/atom: -598

```
Ti6GaN
1.0
4.786 -0.809 -1.464
1.563 4.767 -0.736
0.733 1.487 4.791
Ti Ga N
6 1 1
direct
0.091 0.332 0.760 Ti
0.332 0.760 0.909 Ti
0.668 0.240 0.091 Ti
0.909 0.668 0.240 Ti
0.240 0.091 0.332 Ti
0.760 0.909 0.668 Ti
0.500 0.500 0.500 Ga
0.000 0.000 0.000 N
```

Entry 3:
The following is a DFT calculation (PBE) of an optimized crystal structure of DySiIr3.

Output
Fermi-level density of states, states/eV per atom: 0.450
Final energy, eV per cell: -76.9
ΔE_f (raw), meV/atom: -367

```
DySiIr3
1.0
-2.908 -0.437 -3.361
4.356 -0.676 -0.714
-1.083 -9.236 2.138
Ir Dy Si
6 2 2
direct
0.333 0.667 0.067 Ir
0.333 0.667 0.433 Ir
0.000 0.000 0.250 Ir
0.667 0.333 0.567 Ir
0.000 0.000 0.750 Ir
0.667 0.333 0.933 Ir
0.333 0.667 0.750 Dy
0.667 0.333 0.250 Dy
0.000 0.000 0.000 Si
0.000 0.000 0.500 Si
```

Entry 4:
The following is a DFT calculation (PBE) of an optimized crystal structure of VPt2Au.

Output
Formation energy from the elements, meV per atom: -247
Fermi-level density of states, states/eV per atom: 1.217
Final energy, eV per cell: -25.5
Relative energy among the computed polymorphs, eV/atom: 0.123

```
VPt2Au
1.0
-0.421 2.321 2.358
-3.263 0.103 -0.684
-0.941 -4.100 3.868
Pt Au V
2 1 1
direct
0.000 0.000 0.266 Pt
0.000 0.000 0.734 Pt
0.500 0.500 0.000 Au
0.500 0.500 0.500 V
```